Material: AlCuCl2
Method: DFT, PBE-GGA
State: relaxed

Geometry as POSCAR:
```
AlCuCl2
1.0
-1.781 -0.078 4.467
1.631 -3.215 3.184
2.717 1.442 3.698
Al Cu Cl
1 1 2
Direct
0.500 0.500 0.500
0.750 0.750 0.750
0.000 0.000 0.000
0.250 0.250 0.250
```

Properties
- Total DFT energy (no corrections): -2.67 eV/atom
- Space group: F-43m